(1)
Density functional theory data (PBE) for a geometry-optimized Sr2TbAgO4 structure. Values from VASP.

Geometry as Quantum ESPRESSO input:
```
&SYSTEM
  ibrav = 0, nat = 8, ntyp = 4
/
ATOMIC_SPECIES
Ag 107.87 Ag.upf
O 16.00 O.upf
Sr 87.62 Sr.upf
Tb 158.93 Tb.upf
CELL_PARAMETERS angstrom
3.581 0.000 0.000
0.000 6.188 0.112
0.000 -2.161 5.745
ATOMIC_POSITIONS crystal
Ag 0.000 0.000 0.000
O 0.000 0.719 0.234
O 0.000 0.281 0.766
Sr 0.500 0.000 0.500
Sr 0.000 0.500 0.500
Tb 0.500 0.500 0.000
O 0.500 0.279 0.245
O 0.500 0.721 0.755
```

Output
formation energy from raw total energies = -2.366 eV/atom

***

(2)
Density functional theory data (PBE) for a geometry-optimized SrSnSe2 structure. Values from VASP.

Geometry as Quantum ESPRESSO input:
```
&SYSTEM
  ibrav = 0, nat = 16, ntyp = 3
/
ATOMIC_SPECIES
Sn 118.71 Sn.upf
Se 78.96 Se.upf
Sr 87.62 Sr.upf
CELL_PARAMETERS angstrom
4.595 0.000 0.000
0.000 6.230 0.000
0.000 0.000 18.527
ATOMIC_POSITIONS crystal
Sn 0.750 0.761 0.167
Se 0.250 0.247 0.441
Sr 0.750 0.256 0.564
Se 0.750 0.704 0.327
Sr 0.750 0.756 0.936
Se 0.750 0.753 0.559
Se 0.750 0.204 0.173
Sr 0.250 0.744 0.436
Sn 0.250 0.739 0.667
Se 0.750 0.253 0.941
Se 0.250 0.747 0.059
Se 0.250 0.296 0.673
Sn 0.750 0.261 0.333
Sr 0.250 0.244 0.064
Se 0.250 0.796 0.827
Sn 0.250 0.239 0.833
```

Output
formation energy from raw total energies = -1.166 eV/atom

***

(3)
Density functional theory data (PBE) for a geometry-optimized TeOsCl2 structure. Values from VASP.

Geometry as Quantum ESPRESSO input:
```
&SYSTEM
  ibrav = 0, nat = 4, ntyp = 3
/
ATOMIC_SPECIES
Cl 35.45 Cl.upf
Te 127.60 Te.upf
Os 190.23 Os.upf
CELL_PARAMETERS angstrom
-1.097 -1.664 2.933
5.856 1.544 3.067
2.219 5.189 3.774
ATOMIC_POSITIONS crystal
Cl 0.000 0.379 0.379
Te 0.500 0.750 0.750
Cl 0.000 0.121 0.121
Os 0.500 0.250 0.250
```

Output
formation energy from raw total energies = 0.031 eV/atom
distance to the lowest polymorph of the same formula = 75.3 meV/atom

***

(4)
Density functional theory data (PBE) for a geometry-optimized K3SnPb structure. Values from VASP.

Geometry as Quantum ESPRESSO input:
```
&SYSTEM
  ibrav = 0, nat = 20, ntyp = 3
/
ATOMIC_SPECIES
K 39.10 K.upf
Sn 118.71 Sn.upf
Pb 207.20 Pb.upf
CELL_PARAMETERS angstrom
-1.396 7.577 4.959
3.758 -3.121 5.826
11.587 5.713 -4.413
ATOMIC_POSITIONS crystal
K 0.535 0.198 0.388
K 0.257 0.374 0.842
Sn 0.850 0.915 0.703
K 0.865 0.826 0.431
Pb 0.917 0.360 0.357
K 0.743 0.626 0.158
Sn 0.150 0.085 0.297
K 0.535 0.802 0.888
Sn 0.850 0.085 0.203
K 0.743 0.374 0.658
Sn 0.150 0.915 0.797
K 0.465 0.198 0.112
Pb 0.917 0.640 0.857
K 0.465 0.802 0.612
Pb 0.083 0.640 0.643
Pb 0.083 0.360 0.143
K 0.257 0.626 0.342
K 0.135 0.174 0.569
K 0.135 0.826 0.069
K 0.865 0.174 0.931
```

Output
ΔE_f = -190 meV/atom
distance to the lowest polymorph of the same formula = 0.0 meV/atom

***

Energy: -6.20, -4.33, -4.49, -2.39 (eV/atom)